Below is AcSnO4 after structural relaxation, with properties calculated at the PBE-GGA level. Values from VASP.

Energy above the lowest structure with this stoichiometry   0 meV/atom
Formation energy (no corrections)   -2.077 eV per atom
Symmetry   No. 88

```
&SYSTEM
  ibrav = 0, nat = 12, ntyp = 3
/
ATOMIC_SPECIES
Ac 227.00 Ac.upf
O 16.00 O.upf
Sn 118.71 Sn.upf
CELL_PARAMETERS angstrom
-1.5087 4.9950 -2.1489
1.5953 -1.7254 -5.1305
-5.5777 -3.7419 2.6275
ATOMIC_POSITIONS angstrom
Ac 0.0000 0.0000 0.0000
Ac -3.5215 1.4439 -1.5806
O -2.8683 -3.2095 -1.8381
O -1.6310 -0.2522 -2.0144
O -0.2953 -0.0293 -4.6968
O -4.4550 -2.6472 0.5828
O -4.6443 0.3493 0.4640
O -4.6357 -0.8139 -2.2456
O -1.8387 2.1678 -5.9156
O -1.5962 2.5458 -2.9445
Sn 0.0433 1.6348 -3.6397
Sn -1.9696 -1.9162 -3.0714
```

=====

Below is Ac2Sn3O10 after structural relaxation, with properties calculated at the PBE-GGA level. Values from VASP.

Formation energy (no corrections)   -1.995 eV per atom
Symmetry   No. 12

```
&SYSTEM
  ibrav = 0, nat = 30, ntyp = 3
/
ATOMIC_SPECIES
Sn 118.71 Sn.upf
O 16.00 O.upf
Ac 227.00 Ac.upf
CELL_PARAMETERS angstrom
-4.9962 3.3919 1.4614
-4.6385 -5.3326 -3.4812
3.7724 -3.7021 8.2821
ATOMIC_POSITIONS angstrom
Sn -1.2917 0.8769 0.3778
Sn 0.3974 -0.7528 3.1060
Sn -3.9460 -2.9040 6.4568
Sn -6.2597 -4.8901 3.1563
Sn -1.9163 -2.7389 -0.1945
Sn -3.7045 2.5150 1.0836
O -2.8515 -3.3335 4.7475
O -5.0793 -4.6015 6.5223
O -5.5677 -0.5735 2.2628
O -3.0393 -4.5077 0.0718
O -0.6304 -2.4677 3.5721
O -0.7830 -1.0414 -0.2600
O -6.1854 -0.0417 -0.6097
O -3.4494 -1.8991 -1.4100
O -1.1768 0.3069 2.3571
O -3.4900 1.8773 3.0337
O -2.5114 -6.2479 5.9155
O -3.0108 -2.3094 1.5149
O -2.8230 -1.1351 6.1906
O -0.2946 -5.0694 3.9996
O -3.3510 0.6050 0.3469
O -4.6855 -5.9498 3.9053
O -0.6119 -0.1551 4.8718
O -2.3724 -7.5202 3.2287
O -5.2319 -3.1752 2.6902
O 1.8862 -1.8510 4.1411
Ac -2.4544 -4.8133 2.7807
Ac -3.4079 -0.8295 3.4817
Ac -0.3565 -3.1299 6.0457
Ac -5.5059 -2.5130 0.2167
```

=====

Below is Ac4Sn6O19 after structural relaxation, with properties calculated at the PBE-GGA level. Values from VASP.

Formation energy (no corrections)   -2.162 eV per atom
Symmetry   No. 197

```
&SYSTEM
  ibrav = 0, nat = 29, ntyp = 3
/
ATOMIC_SPECIES
O 16.00 O.upf
Sn 118.71 Sn.upf
Ac 227.00 Ac.upf
CELL_PARAMETERS angstrom
7.7208 0.0000 -2.7297
-3.8604 6.6864 -2.7297
0.0000 0.0000 8.1891
ATOMIC_POSITIONS angstrom
O 1.3468 2.3327 -1.9047
O -1.1553 2.4701 5.1184
O 1.1979 1.6057 3.5850
O -0.4991 4.0758 -0.0657
O -1.1435 6.4519 2.3887
O -1.3468 2.3327 1.9047
O -0.0811 5.0807 -2.7954
O 4.3051 2.2356 5.0108
O 5.0272 0.0000 3.5547
O 0.0000 0.0000 0.0000
O -2.5136 4.3536 3.5547
O 2.2989 4.4508 -0.3410
O 5.7313 0.2345 0.8553
O 2.5136 4.3536 -3.5547
O 2.6936 0.0000 1.9047
O 0.5801 4.2163 2.6640
O 3.6439 1.8402 -0.4486
O 3.6321 2.6106 2.2811
O 4.6520 4.8462 -1.8744
Sn 3.2150 1.1179 3.6425
Sn -1.2848 4.4611 1.8170
Sn 0.6394 3.3432 4.5467
Sn 3.2210 3.3432 -1.8170
Sn 5.1452 2.2253 0.9128
Sn 0.6454 5.5685 -0.9128
Ac 1.2340 2.1374 0.8726
Ac 0.0000 0.0000 5.5714
Ac 5.2527 0.0000 -1.8571
Ac -2.6264 4.5490 -1.8571
```

=====

Below is Ac2SnO after structural relaxation, with properties calculated at the PBE-GGA level. Values from VASP.

Energy above the lowest structure with this stoichiometry   0 meV/atom
Formation energy (no corrections)   -1.764 eV per atom
Symmetry   No. 62

```
&SYSTEM
  ibrav = 0, nat = 16, ntyp = 3
/
ATOMIC_SPECIES
Ac 227.00 Ac.upf
Sn 118.71 Sn.upf
O 16.00 O.upf
CELL_PARAMETERS angstrom
4.4903 0.0000 0.0000
0.0000 10.0318 0.0000
0.0000 0.0000 12.1042
ATOMIC_POSITIONS angstrom
Ac 1.1226 3.4720 0.2957
Ac 3.3677 4.9398 3.3245
Ac 1.1226 5.0920 8.7797
Ac 1.1226 8.4879 5.7564
Ac 3.3677 9.9557 2.7276
Ac 3.3677 1.5439 6.3478
Ac 3.3677 6.5598 11.8085
Ac 1.1226 0.0761 9.3765
Sn 3.3677 2.6029 9.7478
Sn 1.1226 2.4129 3.6957
Sn 1.1226 7.4288 2.3564
Sn 3.3677 7.6188 8.4084
O 3.3677 9.4848 5.0717
O 3.3677 4.4689 0.9804
O 1.1226 0.5470 7.0325
O 1.1226 5.5629 11.1237
```

=====

Below is Ac3SnO7 after structural relaxation, with properties calculated at the PBE-GGA level. Values from VASP.

Formation energy (no corrections)   -2.732 eV per atom
Symmetry   No. 63

```
&SYSTEM
  ibrav = 0, nat = 22, ntyp = 3
/
ATOMIC_SPECIES
Ac 227.00 Ac.upf
O 16.00 O.upf
Sn 118.71 Sn.upf
CELL_PARAMETERS angstrom
6.9927 -0.0616 0.0000
-2.4664 6.5436 0.0000
0.0000 0.0000 8.0845
ATOMIC_POSITIONS angstrom
Ac 0.0000 0.0000 0.0000
Ac -0.7420 3.4266 6.0634
Ac 3.4725 0.4837 6.0634
Ac 1.0537 5.9983 2.0211
Ac 5.2682 3.0554 2.0211
Ac 0.0000 0.0000 4.0422
O 1.9336 5.3142 7.7967
O 4.3230 3.6458 7.7967
O 1.9336 5.3142 4.3300
O 5.6428 0.6461 2.0211
O 4.3230 3.6458 4.3300
O 0.2033 2.8362 0.2878
O 0.2033 2.8362 3.7545
O 2.5926 1.1678 0.2878
O 2.5926 1.1678 3.7545
O 5.8634 0.9619 6.0634
O 1.8916 2.7089 6.0634
O -1.1166 5.8359 6.0634
O -1.3371 5.5201 2.0211
O 2.6347 3.7731 2.0211
Sn 2.2631 3.2410 0.0000
Sn 2.2631 3.2410 4.0422
```

=====

Below is AcSnO4 after structural relaxation, with properties calculated at the PBE-GGA level. Values from VASP.

Energy above the lowest structure with this stoichiometry   178 meV/atom
Formation energy (no corrections)   -1.899 eV per atom
Symmetry   No. 129

```
&SYSTEM
  ibrav = 0, nat = 12, ntyp = 3
/
ATOMIC_SPECIES
O 16.00 O.upf
Sn 118.71 Sn.upf
Ac 227.00 Ac.upf
CELL_PARAMETERS angstrom
-0.3245 2.6102 2.9066
0.1273 -2.9079 2.6257
13.2304 1.0565 0.5284
ATOMIC_POSITIONS angstrom
O 6.6152 0.5282 0.2642
O 1.7184 0.1372 0.0686
O 8.8637 2.0258 1.8137
O 11.4135 0.7704 3.2259
O 6.5166 0.3794 3.0303
O 1.6198 -0.0117 2.8347
O 4.2681 -1.1182 1.4807
O 11.5120 0.9192 0.4598
Sn 2.2590 -1.2787 1.4005
Sn 10.8728 2.1863 1.8940
Ac 4.9621 1.7143 1.6579
Ac 8.1697 -0.8067 1.6366
```

=====

Below is Ac2SnO6 after structural relaxation, with properties calculated at the PBE-GGA level. Values from VASP.

Formation energy (no corrections)   -2.249 eV per atom
Symmetry   No. 71

```
&SYSTEM
  ibrav = 0, nat = 9, ntyp = 3
/
ATOMIC_SPECIES
O 16.00 O.upf
Ac 227.00 Ac.upf
Sn 118.71 Sn.upf
CELL_PARAMETERS angstrom
-0.2665 4.3163 0.8320
-5.1436 0.1305 -2.3245
0.4398 -3.3197 5.6972
ATOMIC_POSITIONS angstrom
O -0.4171 1.3463 4.5260
O -3.0632 1.4134 3.3302
O -4.5742 2.2708 -1.5909
O -4.5532 -0.2192 -0.3213
O -1.9071 -0.2863 0.8745
O -0.8360 2.1760 0.0984
Ac -1.4938 -0.7222 3.2650
Ac -3.4765 1.8493 0.9397
Sn 0.0000 0.0000 0.0000
```

=====

Below is Ac2SnO after structural relaxation, with properties calculated at the PBE-GGA level. Values from VASP.

Energy above the lowest structure with this stoichiometry   281 meV/atom
Formation energy (no corrections)   -1.483 eV per atom
Symmetry   No. 166

```
&SYSTEM
  ibrav = 0, nat = 4, ntyp = 3
/
ATOMIC_SPECIES
Sn 118.71 Sn.upf
O 16.00 O.upf
Ac 227.00 Ac.upf
CELL_PARAMETERS angstrom
-0.9571 -1.2913 3.6208
1.2751 -3.5391 1.2421
6.8525 1.8838 4.6504
ATOMIC_POSITIONS angstrom
Sn 0.0000 0.0000 0.0000
O 3.5852 -1.4733 4.7566
Ac 4.9241 -2.4449 6.9312
Ac 2.2464 -0.5016 2.5821
```

=====

Below is Ac2SnO after structural relaxation, with properties calculated at the PBE-GGA level. Values from VASP.

Energy above the lowest structure with this stoichiometry   15 meV/atom
Formation energy (no corrections)   -1.750 eV per atom
Symmetry   No. 152

```
&SYSTEM
  ibrav = 0, nat = 12, ntyp = 3
/
ATOMIC_SPECIES
O 16.00 O.upf
Ac 227.00 Ac.upf
Sn 118.71 Sn.upf
CELL_PARAMETERS angstrom
-7.2132 1.8050 -0.0559
2.0481 -7.1078 0.7589
0.1721 0.9485 8.4191
ATOMIC_POSITIONS angstrom
O -3.9546 1.8159 6.9841
O 1.1923 -3.8800 1.8343
O -2.1446 -1.8159 4.5131
Ac -5.5328 0.4206 8.2395
Ac -3.8774 -2.5795 2.8573
Ac -2.6455 0.4395 5.3352
Ac -0.2997 -5.6367 0.9968
Ac -0.0007 -2.3843 3.4675
Ac -2.6230 -3.3224 6.4699
Sn 1.4321 -3.9395 6.1009
Sn -4.5823 1.4772 2.7704
Sn -1.8428 -1.8919 0.2508
```

=====

Below is Ac5Sn3O after structural relaxation, with properties calculated at the PBE-GGA level. Values from VASP.

Formation energy (no corrections)   -1.126 eV per atom
Symmetry   No. 193

```
&SYSTEM
  ibrav = 0, nat = 18, ntyp = 3
/
ATOMIC_SPECIES
Ac 227.00 Ac.upf
Sn 118.71 Sn.upf
O 16.00 O.upf
CELL_PARAMETERS angstrom
-3.9913 0.7906 -5.8479
5.7129 -6.3689 -4.7602
-7.8416 -3.1863 4.9212
ATOMIC_POSITIONS angstrom
Ac 1.4349 -4.3438 -8.0758
Ac -0.8009 -4.9128 -4.4570
Ac 0.2868 -1.2345 -2.5324
Ac -2.7611 -0.5188 -0.3554
Ac -9.0717 -1.8769 -0.5713
Ac -3.3234 -4.2472 1.6940
Ac -3.4721 -1.5556 -4.3497
Ac -5.3190 -3.8519 -1.2299
Ac -2.6478 -7.2090 -1.3372
Ac 1.1948 -5.3081 -1.5331
Sn -6.1213 -0.6780 -2.4230
Sn -1.8469 -3.6138 -1.3978
Sn 2.4363 -3.6308 -4.3234
Sn -5.7115 -1.7177 1.4962
Sn -0.7146 -1.9475 -6.2847
Sn -4.2730 -5.1508 -4.2892
O 0.0000 0.0000 0.0000
O -1.9956 0.3953 -2.9240
```

=====

Below is Ac6Sn2O after structural relaxation, with properties calculated at the PBE-GGA level. Values from VASP.

Formation energy (no corrections)   -0.624 eV per atom
Symmetry   No. 136

```
&SYSTEM
  ibrav = 0, nat = 18, ntyp = 3
/
ATOMIC_SPECIES
Ac 227.00 Ac.upf
Sn 118.71 Sn.upf
O 16.00 O.upf
CELL_PARAMETERS angstrom
7.3577 0.0000 0.0000
0.0000 7.3577 0.0000
0.0000 0.0000 13.4965
ATOMIC_POSITIONS angstrom
Ac 5.0899 5.0899 8.6617
Ac 2.2678 2.2678 8.6617
Ac 5.0899 5.0899 4.8348
Ac 1.4111 5.9466 1.9135
Ac 1.4111 5.9466 11.5830
Ac 2.2678 2.2678 4.8348
Ac 5.9466 1.4111 11.5830
Ac 5.6560 1.7016 6.7482
Ac 5.3804 5.3804 0.0000
Ac 1.7016 5.6560 6.7482
Ac 5.9466 1.4111 1.9135
Ac 1.9772 1.9772 0.0000
Sn 3.6788 3.6788 11.2361
Sn 3.6788 3.6788 2.2604
Sn 0.0000 0.0000 9.0087
Sn 0.0000 0.0000 4.4878
O 0.0000 0.0000 0.0000
O 3.6788 3.6788 6.7482
```

=====

Below is Ac2SnO2 after structural relaxation, with properties calculated at the PBE-GGA level. Values from VASP.

Formation energy (no corrections)   -2.465 eV per atom
Symmetry   No. 139

```
&SYSTEM
  ibrav = 0, nat = 5, ntyp = 3
/
ATOMIC_SPECIES
Ac 227.00 Ac.upf
O 16.00 O.upf
Sn 118.71 Sn.upf
CELL_PARAMETERS angstrom
3.9844 -0.0019 1.2704
-0.3046 4.0586 0.9618
-0.3816 0.2109 8.0817
ATOMIC_POSITIONS angstrom
Ac 1.1120 1.4327 3.3986
Ac 2.1863 2.8348 6.9152
O 2.7214 1.1186 5.2341
O 0.5769 3.1489 5.0797
Sn 3.6798 4.0566 2.2321
```

=====

Below is Ac7Sn2O2 after structural relaxation, with properties calculated at the PBE-GGA level. Values from VASP.

Formation energy (no corrections)   -0.916 eV per atom
Symmetry   No. 12

```
&SYSTEM
  ibrav = 0, nat = 11, ntyp = 3
/
ATOMIC_SPECIES
Sn 118.71 Sn.upf
Ac 227.00 Ac.upf
O 16.00 O.upf
CELL_PARAMETERS angstrom
-3.2774 0.1982 -8.2451
-0.5125 -8.1748 -0.5565
-8.3776 1.2733 -2.6377
ATOMIC_POSITIONS angstrom
Sn -4.2660 -3.5811 -4.0223
Sn -7.9016 -3.1221 -7.4170
Ac -3.6461 -1.3383 -1.6294
Ac -6.2492 -1.0522 -5.2316
Ac -10.0055 -0.5354 -7.5675
Ac 0.0000 0.0000 0.0000
Ac -2.1620 -6.1679 -3.8718
Ac -8.5215 -5.3650 -9.8099
Ac -5.9184 -5.6511 -6.2077
O -7.2857 -7.0435 -4.9317
O -4.8819 0.3402 -6.5077
```

=====

Below is AcSn2O6 after structural relaxation, with properties calculated at the PBE-GGA level. Values from VASP.

Formation energy (no corrections)   -1.975 eV per atom
Symmetry   No. 162

```
&SYSTEM
  ibrav = 0, nat = 9, ntyp = 3
/
ATOMIC_SPECIES
O 16.00 O.upf
Sn 118.71 Sn.upf
Ac 227.00 Ac.upf
CELL_PARAMETERS angstrom
5.3467 0.0000 0.0000
0.0000 4.7850 -2.7626
0.0000 0.0000 5.5252
ATOMIC_POSITIONS angstrom
O 1.5273 3.0281 3.7770
O 1.5273 1.7569 1.0144
O 3.8194 3.0281 1.7483
O 1.5272 4.7850 0.7340
O 3.8194 0.0000 2.0287
O 3.8194 1.7569 -1.0143
Sn 2.6733 1.5950 2.7626
Sn 2.6733 3.1900 0.0000
Ac 0.0000 0.0000 0.0000
```

=====

Below is Ac6SnO12 after structural relaxation, with properties calculated at the PBE-GGA level. Values from VASP.

Formation energy (no corrections)   -2.874 eV per atom
Symmetry   No. 148

```
&SYSTEM
  ibrav = 0, nat = 19, ntyp = 3
/
ATOMIC_SPECIES
O 16.00 O.upf
Ac 227.00 Ac.upf
Sn 118.71 Sn.upf
CELL_PARAMETERS angstrom
7.0588 -0.3599 -0.7754
-0.8250 7.0196 -0.7754
-0.3369 -0.3599 7.0932
ATOMIC_POSITIONS angstrom
O -0.7073 6.3049 4.2503
O 1.2623 6.5894 -0.5201
O 2.7970 0.8689 3.7324
O 2.1294 3.4515 5.0924
O 3.7675 2.8483 0.4501
O 4.6346 -0.2896 6.0625
O 6.6042 -0.0051 1.2921
O 0.6098 3.9473 2.5606
O 6.0141 4.6053 -0.9691
O 3.0999 5.4309 1.8100
O -0.1172 1.6945 6.5115
O 5.2871 2.3525 2.9818
Ac 5.3616 4.5155 1.6010
Ac 1.5186 4.0761 0.2902
Ac 0.5353 1.7843 3.9414
Ac 1.8550 5.6479 4.0447
Ac 4.3783 2.2237 5.2522
Ac 4.0419 0.6519 1.4977
Sn 0.0000 0.0000 0.0000
```

=====

Below is Ac7Sn4O after structural relaxation, with properties calculated at the PBE-GGA level. Values from VASP.

Formation energy (no corrections)   -0.851 eV per atom
Symmetry   No. 12

```
&SYSTEM
  ibrav = 0, nat = 12, ntyp = 3
/
ATOMIC_SPECIES
Sn 118.71 Sn.upf
Ac 227.00 Ac.upf
O 16.00 O.upf
CELL_PARAMETERS angstrom
5.5511 0.0000 0.0000
2.7755 9.3994 0.4444
2.7755 0.9700 8.7707
ATOMIC_POSITIONS angstrom
Sn 5.5511 2.5946 5.6505
Sn 8.3266 7.0385 8.2029
Sn 2.7755 3.3308 1.0121
Sn 5.5511 7.7747 3.5645
Ac 2.7755 0.0000 0.0000
Ac 5.5511 5.8490 6.6487
Ac 2.7755 1.7702 3.8990
Ac 2.7755 7.1514 1.3176
Ac 8.3266 3.2179 7.8974
Ac 5.5511 4.5203 2.5663
Ac 8.3266 8.5991 5.3160
O 0.0000 0.0000 0.0000
```

=====

Below is Ac4Sn2O after structural relaxation, with properties calculated at the PBE-GGA level. Values from VASP.

Formation energy (no corrections)   -1.203 eV per atom
Symmetry   No. 11

```
&SYSTEM
  ibrav = 0, nat = 14, ntyp = 3
/
ATOMIC_SPECIES
O 16.00 O.upf
Sn 118.71 Sn.upf
Ac 227.00 Ac.upf
CELL_PARAMETERS angstrom
7.0813 0.0000 -0.3366
0.0000 7.4192 0.0000
-2.9915 0.0000 9.4794
ATOMIC_POSITIONS angstrom
O 2.6435 1.8548 7.2801
O 1.4464 5.5644 1.8627
Sn 4.7978 5.5644 0.0812
Sn -0.7079 1.8548 9.0616
Sn 3.9992 5.5644 5.3087
Sn 0.0907 1.8548 3.8341
Ac -0.5853 5.5644 3.2925
Ac -1.8832 5.5644 8.8968
Ac 4.6752 1.8548 5.8503
Ac 1.2562 7.3967 6.6222
Ac 1.2562 3.7320 6.6222
Ac 5.9731 1.8548 0.2460
Ac 2.8337 0.0224 2.5206
Ac 2.8337 3.6872 2.5206
```

=====

Below is Ac5Sn2O2 after structural relaxation, with properties calculated at the PBE-GGA level. Values from VASP.

Formation energy (no corrections)   -1.456 eV per atom
Symmetry   No. 12

```
&SYSTEM
  ibrav = 0, nat = 9, ntyp = 3
/
ATOMIC_SPECIES
O 16.00 O.upf
Sn 118.71 Sn.upf
Ac 227.00 Ac.upf
CELL_PARAMETERS angstrom
-0.2766 -3.7194 4.1700
-4.0165 -2.0217 -5.8226
6.8775 -2.4981 -1.7720
ATOMIC_POSITIONS angstrom
O 4.7555 -3.5067 -2.8124
O -2.1711 -4.7325 -0.6122
Sn 1.1639 -3.2942 0.8919
Sn 1.4206 -4.9450 -4.3165
Ac 4.5594 -5.3975 -0.7590
Ac 2.5754 -2.5519 -2.1054
Ac 0.0090 -5.6873 -1.3193
Ac 0.0000 0.0000 0.0000
Ac -1.9750 -2.8417 -2.6657
```